{
  "formula": "TlCoP2S",
  "functional": "meta-GGA SCAN",
  "state": "single point on PBEsol structure",
  "cell": [[4.224, 0.000, 0.000], [0.000, 4.224, 0.000], [0.000, 0.000, 5.110]],
  "species": ["Tl", "Co", "P", "P", "S"],
  "frac_coords": [[0.000, 0.000, 0.000], [0.500, 0.500, 0.500], [0.000, 0.500, 0.500], [0.500, 0.000, 0.500], [0.500, 0.500, 0.000]],
  "magmom_total_mub_per_fu": 0.00,
  "energy_ev_per_atom": -23.580,
  "crystal_system": "tetragonal",
  "n_ef_per_ev_cell": 4.6,
  "space_group": "P4/mmm"
}

***

{
  "formula": "Ba2CaPd3O6",
  "functional": "meta-GGA SCAN",
  "state": "single point on PBEsol structure",
  "cell": [[0.000, 5.684, 7.479], [4.362, 0.000, 7.479], [4.362, 5.684, 0.000]],
  "species": ["Ba", "Ba", "Ba", "Ba", "Ca", "Ca", "Pd", "Pd", "Pd", "Pd", "Pd", "Pd", "O", "O", "O", "O", "O", "O", "O", "O", "O", "O", "O", "O"],
  "frac_coords": [[0.230, 0.770, 0.230], [0.250, 0.250, 0.250], [0.750, 0.750, 0.750], [0.770, 0.230, 0.770], [0.329, 0.329, 0.671], [0.671, 0.671, 0.329], [0.007, 0.690, 0.993], [0.310, 0.993, 0.690], [0.327, 0.673, 0.673], [0.673, 0.327, 0.327], [0.690, 0.007, 0.310], [0.993, 0.310, 0.007], [0.076, 0.312, 0.688], [0.094, 0.704, 0.672], [0.296, 0.906, 0.469], [0.312, 0.076, 0.924], [0.328, 0.469, 0.906], [0.469, 0.328, 0.296], [0.531, 0.672, 0.704], [0.672, 0.531, 0.094], [0.688, 0.924, 0.076], [0.704, 0.094, 0.531], [0.906, 0.296, 0.328], [0.924, 0.688, 0.312]],
  "magmom_total_mub_per_fu": 0.00,
  "energy_ev_per_atom": -20.617,
  "crystal_system": "orthorhombic",
  "n_ef_per_ev_cell": 0.0,
  "space_group": "Fmmm"
}

***

{
  "formula": "La2TePt2",
  "functional": "meta-GGA SCAN",
  "state": "single point on PBEsol structure",
  "cell": [[7.884, 0.000, 0.000], [0.000, 7.884, 0.000], [0.000, 0.000, 3.881]],
  "species": ["La", "La", "La", "La", "Te", "Te", "Pt", "Pt", "Pt", "Pt"],
  "frac_coords": [[0.177, 0.323, 0.000], [0.323, 0.823, 0.000], [0.677, 0.177, 0.000], [0.823, 0.677, 0.000], [0.000, 0.000, 0.500], [0.500, 0.500, 0.500], [0.123, 0.623, 0.500], [0.377, 0.123, 0.500], [0.623, 0.877, 0.500], [0.877, 0.377, 0.500]],
  "magmom_total_mub_per_fu": 0.00,
  "energy_ev_per_atom": -54.183,
  "crystal_system": "tetragonal",
  "e_above_lowest_polymorph_mev_per_atom": 0,
  "n_ef_per_ev_cell": 3.0,
  "space_group": "P4/mbm"
}

***

{
  "formula": "CuTe2IO",
  "functional": "meta-GGA SCAN",
  "state": "single point on PBEsol structure",
  "cell": [[5.011, 0.000, 0.000], [0.000, 5.011, 0.000], [0.000, 0.000, 5.183]],
  "species": ["Cu", "Te", "Te", "I", "O"],
  "frac_coords": [[0.000, 0.000, 0.000], [0.000, 0.500, 0.000], [0.500, 0.000, 0.000], [0.000, 0.000, 0.500], [0.500, 0.500, 0.500]],
  "magmom_total_mub_per_fu": 2.36,
  "energy_ev_per_atom": -25.711,
  "crystal_system": "tetragonal",
  "n_ef_per_ev_cell": 4.9,
  "space_group": "P4/mmm"
}

***

Table of E_form (uncorrected) (kcal/mol of atoms), in record order: 10.09, -44.07, -32.60, 18.99